This record from Alexandria via LeMat-Bulk describes a relaxed structure of ErHfZnPt. The functional is PBE.

Output
Final energy = -6.092 eV per atom
Energy relative to the elements = -0.63 eV/atom
Magnetic moment = 0.0 μB/f.u.
Crystal system = cubic

Cell: 4.816 4.816 4.816 Å, 60.00 60.00 60.00°
Positions (direct):
Er1 0.000 0.000 0.000
Hf1 0.500 0.500 0.500
Zn1 0.750 0.750 0.750
Pt1 0.250 0.250 0.250